(1)
This record from the Alexandria database describes a relaxed structure of Sm2Ni3Ge4Ru. The functional is PBE-GGA. Values from VASP.

The structure in Quantum ESPRESSO input format:
```
&SYSTEM
  ibrav = 0, nat = 10, ntyp = 4
/
ATOMIC_SPECIES
Sm 150.36 Sm.upf
Ni 58.69 Ni.upf
Ge 72.64 Ge.upf
Ru 101.07 Ru.upf
CELL_PARAMETERS angstrom
4.124 0.000 0.000
0.000 4.124 0.000
0.000 0.000 9.936
ATOMIC_POSITIONS crystal
Sm 0.000 0.500 0.242
Sm 0.500 0.000 0.758
Ni 0.000 0.500 0.875
Ni 0.500 0.000 0.125
Ni 0.500 0.500 0.500
Ge 0.000 0.000 0.000
Ge 0.000 0.500 0.635
Ge 0.500 0.000 0.365
Ge 0.500 0.500 0.000
Ru 0.000 0.000 0.500
```

Summary:
ρ	8.5	Mg/m³
crystal system	tetragonal
DFT total energy	-61.4	eV for the cell shown
M_tot	0.0	μB per formula unit
calculated formation energy	-0.690	eV/atom
symmetry	No. 115

(2)
This record from the Alexandria database describes a relaxed structure of Rb2CuReB. The functional is PBE-GGA. Values from VASP.

The structure in Quantum ESPRESSO input format:
```
&SYSTEM
  ibrav = 0, nat = 5, ntyp = 4
/
ATOMIC_SPECIES
Rb 85.47 Rb.upf
Cu 63.55 Cu.upf
Re 186.21 Re.upf
B 10.81 B.upf
CELL_PARAMETERS angstrom
6.612 0.000 0.000
0.000 6.612 0.000
0.000 0.000 3.836
ATOMIC_POSITIONS crystal
Rb 0.000 0.500 0.000
Rb 0.500 0.000 0.000
Cu 0.000 0.000 0.000
Re 0.500 0.500 0.500
B 0.000 0.000 0.500
```

Summary:
ρ	4.3	Mg/m³
crystal system	tetragonal
DFT total energy	-16.4	eV for the cell shown
M_tot	4.0	μB per formula unit
calculated formation energy	1.746	eV/atom
symmetry	No. 123

(3)
This record from the Alexandria database describes a relaxed structure of NbVIrPt. The functional is PBE-GGA. Values from VASP.

The structure in Quantum ESPRESSO input format:
```
&SYSTEM
  ibrav = 0, nat = 4, ntyp = 4
/
ATOMIC_SPECIES
Nb 92.91 Nb.upf
V 50.94 V.upf
Ir 192.22 Ir.upf
Pt 195.08 Pt.upf
CELL_PARAMETERS angstrom
3.908 0.000 0.000
0.000 3.936 0.000
0.000 0.000 3.964
ATOMIC_POSITIONS crystal
Nb 0.000 0.000 0.000
V 0.500 0.000 0.500
Ir 0.500 0.500 0.000
Pt 0.000 0.500 0.500
```

Summary:
ρ	14.5	Mg/m³
crystal system	orthorhombic
DFT total energy	-36.3	eV for the cell shown
M_tot	0.0	μB per formula unit
calculated formation energy	-0.561	eV/atom
symmetry	No. 47